Compound: Rb2VF
Source: Alexandria via LeMat-Bulk
Functional: PBE with a Hubbard U
Structure: relaxed

Geometry as extended XYZ:
```
4
Lattice="0.000 4.247 4.247 4.247 0.000 4.247 4.247 4.247 0.000" Properties=species:S:1:pos:R:3 pbc="T T T"
Rb 2.124 2.124 2.124
Rb 6.371 6.371 6.371
V 0.000 0.000 0.000
F 4.247 4.247 4.247
```

Summary:
symmetry: Fm-3m, No. 225
crystal system: cubic
relative energy among the computed polymorphs: 0.349 eV per atom
theoretical density: 2.61 g/cm3
Fermi-level density of states: 6.185 states/eV/cell
total magnetic moment: 4.00 μB/f.u.
calculated total energy: -11.164 eV/cell